Below is a geometry-optimized KPmZnO3 structure, with properties calculated at the PBE-GGA level.

As for the crystal system: monoclinic. For the formation energy without anion corrections, the calculation gives -209 kJ per mole of atoms. The value obtained for the density of states at the Fermi level is 0.000 states/eV/atom. The value obtained for the total energy is -5.8278 eV per atom.

The space group is P2_1/m (No. 11) and the conventional cell measures 7.530, 3.629 and 8.931 Å, with angles of 90.00, 106.61 and 90.00 degrees. The asymmetric unit holds K at (0.179, 0.250, 0.168), Pm at (0.341, 0.750, 0.848), Zn at (0.053, 0.250, 0.618), O at (0.122, 0.250, 0.845), O at (0.162, 0.750, 0.572) and O at (0.451, 0.750, 0.120).

---

Below is a geometry-optimized Nd7Y2Er3 structure, with properties calculated at the PBE-GGA level.

As for the crystal system: triclinic. The value obtained for the density of states at the Fermi level is 1.549 states/eV/atom. The value obtained for the total energy is -4.7081 eV per atom. The excess energy over the best structure of this formula in the dataset comes out at 199.0 meV/atom. The formation energy from the elements comes out at 0.29 eV per atom.

The space group is P-1 (No. 2) and the conventional cell measures 5.538, 6.301 and 12.342 Å, with angles of 89.77, 89.98 and 89.84 degrees. The asymmetric unit holds Nd at (0.000, 0.000, 0.000), Nd at (0.000, 0.446, 0.818), Nd at (0.498, 0.243, 0.546), Nd at (0.500, 0.093, 0.829), Y at (0.500, 0.383, 0.276), Er at (0.000, 0.062, 0.342) and Er at (0.500, 0.500, 0.000).

---

Below is a geometry-optimized La5Sm12Tm2 structure, with properties calculated at the PBE-GGA level.

As for the crystal system: monoclinic. The value obtained for the density of states at the Fermi level is 1.645 states/eV/atom. The value obtained for the total energy is -4.6243 eV per atom. The excess energy over the best structure of this formula in the dataset comes out at 0.0 meV/atom. The formation energy from the elements comes out at 0.12 eV per atom.

The space group is C2/m (No. 12) and the conventional cell measures 23.810, 10.534 and 5.426 Å, with angles of 90.00, 103.16 and 90.00 degrees. The asymmetric unit holds La at (0.000, 0.000, 0.000), La at (0.197, 0.000, 0.197), La at (0.200, 0.500, 0.200), Sm at (0.080, 0.500, 0.580), Sm at (0.084, 0.277, 0.084), Sm at (0.104, 0.000, 0.603), Sm at (0.193, 0.261, 0.693) and Tm at (0.000, 0.215, 0.500).

---

Below is a geometry-optimized Ta2Fe2Rh structure, with properties calculated at the PBE-GGA level.

As for the crystal system: tetragonal. The value obtained for the density of states at the Fermi level is 1.306 states/eV/atom. The value obtained for the total energy is -9.7506 eV per atom. The formation energy from the elements comes out at -0.15 eV per atom.

The space group is P4/mbm (No. 127) and the conventional cell measures 6.743, 6.743 and 3.143 Å, with angles of 90.00, 90.00 and 90.00 degrees. The asymmetric unit holds Ta at (0.182, 0.318, 0.000), Fe at (0.119, 0.619, 0.500) and Rh at (0.000, 0.000, 0.500).

---

Below is a geometry-optimized Rb2BePdI6 structure, with properties calculated at the PBE-GGA level.

As for the crystal system: tetragonal. For the formation energy without anion corrections, the calculation gives -69 kJ per mole of atoms. The value obtained for the density of states at the Fermi level is 0.000 states/eV/atom. The value obtained for the total energy is -2.7293 eV per atom.

The space group is I4/mmm (No. 139) and the conventional cell measures 8.588, 8.588 and 11.373 Å, with angles of 90.00, 90.00 and 90.00 degrees. The asymmetric unit holds Rb at (0.000, 0.500, 0.250), Be at (0.000, 0.000, 0.000), Pd at (0.000, 0.000, 0.500), I at (0.000, 0.000, 0.195) and I at (0.219, 0.219, 0.500).

---

Below is a geometry-optimized Ta2BeF structure, with properties calculated at the PBE-GGA level.

As for the crystal system: cubic. For the formation energy without anion corrections, the calculation gives -5 kJ per mole of atoms. The value obtained for the density of states at the Fermi level is 1.091 states/eV/atom. The value obtained for the total energy is -7.3816 eV per atom. The excess energy over the best structure of this formula in the dataset comes out at 0.0 meV/atom.

The space group is Fm-3m (No. 225) and the conventional cell measures 5.971, 5.971 and 5.971 Å, with angles of 90.00, 90.00 and 90.00 degrees. The asymmetric unit holds Ta at (0.250, 0.250, 0.250), Be at (0.000, 0.000, 0.000) and F at (0.000, 0.000, 0.500).

---

Below is a geometry-optimized Y2CoAsC structure, with properties calculated at the PBE-GGA level.

As for the crystal system: tetragonal. The value obtained for the density of states at the Fermi level is 0.717 states/eV/atom. The value obtained for the total energy is -7.4132 eV per atom. The formation energy from the elements comes out at -0.63 eV per atom.

The space group is P4/mmm (No. 123) and the conventional cell measures 4.987, 4.987 and 3.666 Å, with angles of 90.00, 90.00 and 90.00 degrees. The asymmetric unit holds Y at (0.000, 0.500, 0.000), Co at (0.000, 0.000, 0.500), As at (0.500, 0.500, 0.500) and C at (0.000, 0.000, 0.000).

---

Below is a geometry-optimized CaHo2WN4 structure, with properties calculated at the PBE-GGA level.

As for the crystal system: orthorhombic. For the formation energy without anion corrections, the calculation gives -104 kJ per mole of atoms. The value obtained for the density of states at the Fermi level is 0.302 states/eV/atom. The value obtained for the total energy is -8.2570 eV per atom.

The space group is Cmcm (No. 63) and the conventional cell measures 3.320, 12.030 and 12.155 Å, with angles of 90.00, 90.00 and 90.00 degrees. The asymmetric unit holds Ca at (0.000, 0.074, 0.250), Ho at (0.000, 0.373, 0.038), W at (0.000, 0.183, 0.750), N at (0.000, 0.000, 0.000), N at (0.000, 0.263, 0.617) and N at (0.000, 0.428, 0.250).

---

Below is a geometry-optimized BaSr2Cr structure, with properties calculated at the PBE-GGA level.

As for the crystal system: tetragonal. The value obtained for the density of states at the Fermi level is 1.423 states/eV/atom. The value obtained for the total energy is -3.2200 eV per atom. The excess energy over the best structure of this formula in the dataset comes out at 99.8 meV/atom. The formation energy from the elements comes out at 0.51 eV per atom.

The space group is I-4m2 (No. 119) and the conventional cell measures 6.249, 6.249 and 8.855 Å, with angles of 90.00, 90.00 and 90.00 degrees. The asymmetric unit holds Ba at (0.000, 0.000, 0.000), Sr at (0.000, 0.000, 0.500), Sr at (0.000, 0.500, 0.250) and Cr at (0.000, 0.500, 0.750).

---

Below is a geometry-optimized ZrTeS structure, with properties calculated at the PBE-GGA level.

As for the crystal system: triclinic. For the formation energy without anion corrections, the calculation gives -105 kJ per mole of atoms. The value obtained for the density of states at the Fermi level is 0.347 states/eV/atom. The value obtained for the total energy is -6.3573 eV per atom. The excess energy over the best structure of this formula in the dataset comes out at 118.0 meV/atom.

The space group is P1 (No. 1) and the conventional cell measures 3.842, 6.320 and 7.626 Å, with angles of 84.43, 79.62 and 89.98 degrees. The asymmetric unit holds Zr at (0.000, 0.000, 0.000), Zr at (0.470, 0.466, 0.084), Te at (0.882, 0.209, 0.331), Te at (0.887, 0.697, 0.316), S at (0.048, 0.382, 0.868) and S at (0.551, 0.840, 0.857).

---

Below is a geometry-optimized KY2Ag structure, with properties calculated at the PBE-GGA level.

As for the crystal system: orthorhombic. The value obtained for the density of states at the Fermi level is 1.304 states/eV/atom. The value obtained for the total energy is -3.7409 eV per atom. The formation energy from the elements comes out at 0.48 eV per atom.

The space group is Cmmm (No. 65) and the conventional cell measures 6.597, 11.189 and 3.398 Å, with angles of 90.00, 90.00 and 90.00 degrees. The asymmetric unit holds K at (0.000, 0.000, 0.000), Y at (0.250, 0.250, 0.500) and Ag at (0.000, 0.500, 0.000).

---

Below is a geometry-optimized Ba2PuAlSe5 structure, with properties calculated at the PBE-GGA level.

As for the crystal system: orthorhombic. For the formation energy without anion corrections, the calculation gives -152 kJ per mole of atoms. The value obtained for the density of states at the Fermi level is 1.276 states/eV/atom. The value obtained for the total energy is -5.9515 eV per atom.

The space group is Cmc2_1 (No. 36) and the conventional cell measures 4.264, 19.071 and 13.548 Å, with angles of 90.00, 90.00 and 90.00 degrees. The asymmetric unit holds Ba at (0.000, 0.120, 0.000), Ba at (0.000, 0.126, 0.645), Pu at (0.000, 0.201, 0.341), Al at (0.000, 0.441, 0.740), Se at (0.000, 0.041, 0.337), Se at (0.000, 0.298, 0.983), Se at (0.000, 0.317, 0.690), Se at (0.000, 0.349, 0.325) and Se at (0.000, 0.499, 0.088).